VASP calculation (PBEsol) on a geometry-optimized SbRhCl2 structure.

* raw formation energy: 0.367 eV per atom
* energy above the lowest structure with this stoichiometry: 492 meV per atom

Cell: 4.2248 4.2248 4.1784 Å, 90.00 90.00 90.00°
Space group P4/mmm (No. 123)
One atom of each set of equivalent atoms:
Sb 0.0000 0.0000 0.0000
Rh 0.5000 0.5000 0.0000
Cl 0.0000 0.5000 0.5000

***

VASP calculation (PBEsol) on a geometry-optimized SbRh2Cl structure.

* raw formation energy: 0.048 eV per atom
* energy above the lowest structure with this stoichiometry: 0 meV per atom

Cell: 2.9504 3.9738 11.5715 Å, 90.00 90.00 90.00°
Space group Imm2 (No. 44)
One atom of each set of equivalent atoms:
Sb 0.0000 0.0000 0.0000
Rh 0.0000 0.0000 0.5916
Rh 0.0000 0.5000 0.3025
Cl 0.0000 0.5000 0.7795